This record from Alexandria via LeMat-Bulk describes crystalline SrEu2Pb at its relaxed geometry. The functional is PBE.

Magnetization (μB/cell): 14.499
DOS(E_F) (states/eV per cell): 16.33
Calculated total energy (eV/cell): -27.20
Energy of formation from the pure elements (kcal/mol of atoms): -7.284

CIF file:
```
data_SrEu2Pb
_chemical_formula_sum 'Sr1 Eu2 Pb1'
_cell_length_a 5.2094
_cell_length_b 5.2094
_cell_length_c 5.2967
_cell_angle_alpha 90.00
_cell_angle_beta 90.00
_cell_angle_gamma 90.00
_space_group_name_H-M_alt 'P 4/m m m'
_space_group_IT_number 123
_space_group_name_Hall '-P 4 2'
loop_
_atom_site_label
_atom_site_type_symbol
_atom_site_fract_x
_atom_site_fract_y
_atom_site_fract_z
_atom_site_occupancy
Sr1 Sr 0.0000 0.0000 0.0000 1
Eu1 Eu 0.0000 0.5000 0.5000 1
Pb1 Pb 0.5000 0.5000 0.0000 1
```